Entry 1:
10
Lattice="7.108 0.000 0.000 0.000 7.108 0.000 0.000 0.000 5.035" Properties=species:S:1:pos:R:3 comment="Na2Te2Rh (PBE, optimized geometry)" e_form_raw_kj_per_mol_atoms=-41.6 space_group=P4/mbm rho_g_cm3=5.276 final_energy_ev_per_atom=-3.69 crystal_system=tetragonal vol_a3_per_cell=254 pbc="T T T"
Na 1.178 2.376 0.000
Na 2.376 5.930 0.000
Na 4.732 1.178 0.000
Na 5.930 4.732 0.000
Te 1.122 4.676 2.517
Te 2.432 1.122 2.517
Te 4.676 5.986 2.517
Te 5.986 2.432 2.517
Rh 0.000 0.000 2.517
Rh 3.554 3.554 2.517


Entry 2:
5
Lattice="4.617 0.000 0.000 0.000 4.617 0.000 0.000 0.000 4.617" Properties=species:S:1:pos:R:3 comment="HfTiPd3 (PBE, optimized geometry)" space_group=Pm-3m e_above_lowest_polymorph_ev_per_atom=0.739 rho_g_cm3=9.207 final_energy_ev_per_atom=-6.40 crystal_system=cubic delta_e_f_ev_per_atom=0.283 vol_a3_per_cell=98 pbc="T T T"
Hf 0.000 0.000 0.000
Ti 2.308 2.308 2.308
Pd 0.000 2.308 2.308
Pd 2.308 0.000 2.308
Pd 2.308 2.308 0.000


Entry 3:
30
Lattice="2.403 -11.010 0.000 2.403 11.010 0.000 0.000 0.000 13.767" Properties=species:S:1:pos:R:3 comment="Li5Sm4Hg6 (PBE, optimized geometry)" space_group=Cmc2_1 rho_g_cm3=8.387 final_energy_ev_per_atom=-2.34 crystal_system=orthorhombic delta_e_f_ev_per_atom=-0.320 vol_a3_per_cell=728 pbc="T T T"
Li 2.403 10.179 6.883
Li 2.403 7.433 11.465
Li 2.403 7.310 6.257
Li 2.403 6.648 1.687
Li 2.403 4.004 6.815
Li 2.403 -4.004 13.698
Li 2.403 -6.648 8.570
Li 2.403 -7.310 13.141
Li 2.403 -7.433 4.582
Li 2.403 -10.179 0.000
Sm 2.403 3.968 10.906
Sm 2.403 2.953 1.932
Sm 2.403 1.107 5.018
Sm 2.403 0.883 8.783
Sm 2.403 -0.883 1.900
Sm 2.403 -1.107 11.901
Sm 2.403 -2.953 8.815
Sm 2.403 -3.968 4.022
Hg 2.403 9.877 9.764
Hg 2.403 9.193 3.963
Hg 2.403 8.905 0.126
Hg 2.403 6.065 8.674
Hg 2.403 5.027 4.283
Hg 2.403 1.755 12.945
Hg 2.403 -1.755 6.062
Hg 2.403 -5.027 11.167
Hg 2.403 -6.065 1.791
Hg 2.403 -8.905 7.010
Hg 2.403 -9.193 10.847
Hg 2.403 -9.877 2.881


Entry 4:
4
Lattice="0.000 3.627 3.627 3.627 0.000 3.627 3.627 3.627 0.000" Properties=species:S:1:pos:R:3 comment="LiPmTmGa (PBE, optimized geometry)" space_group=F-43m rho_g_cm3=6.797 final_energy_ev_per_atom=-3.84 crystal_system=cubic delta_e_f_ev_per_atom=-0.302 vol_a3_per_cell=95 pbc="T T T"
Li 0.000 0.000 0.000
Pm 1.813 1.813 1.813
Tm 5.440 5.440 5.440
Ga 3.627 3.627 3.627


Entry 5:
9
Lattice="4.977 0.000 0.000 2.486 4.457 0.000 0.032 0.915 9.350" Properties=species:S:1:pos:R:3 comment="Pm2Ag3Hg4 (PBE, optimized geometry)" space_group=P-1 e_above_lowest_polymorph_ev_per_atom=0.000 rho_g_cm3=11.337 final_energy_ev_per_atom=-2.43 crystal_system=triclinic delta_e_f_ev_per_atom=-0.285 vol_a3_per_cell=207 pbc="T T T"
Pm 1.247 0.846 2.178
Pm 6.248 4.526 7.172
Ag 1.270 1.410 5.371
Ag 3.731 2.228 0.000
Ag 6.225 3.961 3.980
Hg 1.275 1.616 8.403
Hg 3.760 3.031 6.079
Hg 3.735 2.341 3.271
Hg 6.220 3.756 0.947


Entry 6:
7
Lattice="8.696 -1.743 0.000 8.696 1.743 0.000 -4.117 0.000 7.394" Properties=species:S:1:pos:R:3 comment="Pm2Er2Tm3 (PBE, optimized geometry)" space_group=C2/m e_above_lowest_polymorph_ev_per_atom=0.000 rho_g_cm3=8.382 final_energy_ev_per_atom=-4.45 crystal_system=monoclinic delta_e_f_ev_per_atom=0.126 vol_a3_per_cell=224 pbc="T T T"
Pm -0.531 0.000 3.047
Pm 13.807 0.000 4.347
Er 5.399 0.000 1.231
Er 7.876 0.000 6.163
Tm 2.134 0.000 5.179
Tm 8.696 0.000 0.000
Tm 11.141 0.000 2.216